1.
The following is a PBE calculation of a relaxed Pa2TiNi9 crystal, from Alexandria via LeMat-Bulk.

The space group is R-3m (No. 166, hexagonal axes) and the conventional cell measures 4.8267, 4.8267 and 24.4935 Å, with angles of 90.00, 90.00 and 120.00 degrees. The asymmetric unit holds Pa at (0.0000, 0.0000, 0.1354), Ti at (0.0000, 0.0000, 0.0000), Ni at (0.0000, 0.0000, 0.3329), Ni at (0.0000, 0.0000, 0.5000) and Ni at (0.9996, 0.4998, 0.0817).

Its calculated formation energy is -318 meV/atom. The excess energy over the best structure of this formula in the dataset comes out at 0.000 eV per atom.

2.
The following is a PBE calculation of a relaxed CsV2ZnCl8 crystal, from Alexandria via LeMat-Bulk.

The space group is P-1 (No. 2) and the conventional cell measures 6.632, 6.856 and 7.590 Å, with angles of 90.11, 90.83 and 90.13 degrees. The asymmetric unit holds Cs at (0.000, 0.000, 0.000), V at (0.500, 0.283, 0.500), Zn at (0.000, 0.500, 0.000), Cl at (0.247, 0.499, 0.413), Cl at (0.276, 0.999, 0.425), Cl at (0.382, 0.262, 0.776) and Cl at (0.382, 0.739, 0.776).

The uncorrected formation energy comes out at -1.0734 eV/atom.

3.
The following is a PBE calculation of a relaxed KTlHg11 crystal, from Alexandria via LeMat-Bulk.

The space group is C2/m (No. 12) and the conventional cell measures 6.528, 14.918 and 8.593 Å, with angles of 90.00, 111.80 and 90.00 degrees. The asymmetric unit holds K at (0.000, 0.000, 0.000), Tl at (0.000, 0.000, 0.500), Hg at (0.000, 0.500, 0.500), Hg at (0.106, 0.390, 0.216), Hg at (0.176, 0.179, 0.346) and Hg at (0.250, 0.250, 0.000).

Its calculated formation energy is -63 meV/atom.

Going through the records in order, we get calculated volume values of 13.727; 28.757; 29.882 A^3/atom.